(1)
A plane-wave DFT calculation with GGA-PBEsol was carried out for a relaxed structure of Cs2MgTl2.

```
Cs2MgTl2
1.0
4.4090 0.0000 0.0000
0.0000 4.4090 0.0000
-2.2045 -2.2045 12.2745
Tl Cs Mg
2 2 1
Cartesian
2.2045 0.0000 6.1373
0.0000 2.2045 6.1373
0.0000 0.0000 9.5473
2.2045 2.2045 2.7272
0.0000 0.0000 0.0000
```

Results
Calculated formation energy ... 148 meV/atom

***

(2)
A plane-wave DFT calculation with GGA-PBEsol was carried out for a relaxed structure of AgPPt.

```
AgPPt
1.0
4.2123 0.0000 0.0000
2.1062 3.6480 0.0000
2.1062 1.2160 3.4393
P Ag Pt
1 1 1
Cartesian
4.2123 2.4320 1.7197
0.0000 0.0000 0.0000
6.3185 3.6480 2.5795
```

Results
Calculated formation energy ... 172 meV/atom

***

(3)
A plane-wave DFT calculation with GGA-PBEsol was carried out for a relaxed structure of TiAlPd3.

```
TiAlPd3
1.0
4.5700 0.0000 0.0000
0.0000 4.5700 0.0000
0.0000 0.0000 4.5700
Ti Pd Al
1 3 1
Cartesian
0.0000 0.0000 0.0000
2.2850 0.0000 0.0000
0.0000 2.2850 0.0000
0.0000 0.0000 2.2850
2.2850 2.2850 2.2850
```

Results
Calculated formation energy ... 549 meV/atom

***

(4)
A plane-wave DFT calculation with GGA-PBEsol was carried out for a relaxed structure of Ta4Te.

```
Ta4Te
1.0
5.2698 0.0000 0.0000
-1.7566 4.9684 0.0000
-1.7566 -2.4842 4.3027
Ta Te
4 1
Cartesian
0.8783 1.2421 2.1514
2.6349 0.0000 0.0000
-0.8783 -1.2421 2.1514
-0.8783 2.4842 0.0000
0.0000 0.0000 0.0000
```

Results
Formation energy from raw total energies ... 681 kJ/mol of formula units

***

| no. | M_tot (μB/atom) | density (Mg/m³) | calculated total energy (eV/atom) |
| --- | --- | --- | --- |
| 1 | 0.0001 | 4.86 | -1.62 |
| 2 | 0.0000 | 10.49 | -5.18 |
| 3 | 0.0018 | 6.86 | -5.51 |
| 4 | 0.0000 | 12.55 | -9.33 |